Entry 1:
Density functional theory data (GGA-PBE) for a relaxed Ac2Cd15Pd2 crystal.

The structure belongs to space group R-3m (No. 166, hexagonal axes); the cell edges are 10.1455, 10.1455 and 14.9794 Å and the angles 90.00°, 90.00° and 120.00°. The inequivalent atoms are Ac at (0.0000, 0.0000, 0.1682), Cd at (0.0000, 0.2868, 0.5000), Cd at (0.0000, 0.5000, 0.0000), Cd at (0.0030, 0.5015, 0.6504) and Pd at (0.0000, 0.0000, 0.3781).

The energy of formation from the pure elements comes out at -21.6 kJ per mole of atoms. The volume is 1335.28 Å³ per cell. As for the crystal system: trigonal. For the density, the calculation gives 8779 kg/m3.

---

Entry 2:
Density functional theory data (GGA-PBE) for a relaxed AcCdPd crystal.

The structure belongs to space group I4mm (No. 107); the cell edges are 3.721, 3.721 and 11.213 Å and the angles 90.00°, 90.00° and 90.00°. The inequivalent atoms are Ac at (0.000, 0.000, 0.000), Cd at (0.000, 0.000, 0.292) and Pd at (0.000, 0.000, 0.669).

The value obtained for the offset from the most stable computed form is 217 meV/atom. The energy of formation from the pure elements comes out at -44.2 kJ per mole of atoms. The volume is 155.21 Å³ per cell. As for the crystal system: tetragonal. For the density, the calculation gives 9539 kg/m3.

---

Entry 3:
Density functional theory data (GGA-PBE) for a relaxed AcCdPd crystal.

The structure belongs to space group P-62m (No. 189); the cell edges are 7.9712, 7.9712 and 4.2692 Å and the angles 90.00°, 90.00° and 120.00°. The inequivalent atoms are Ac at (0.0000, 0.5887, 0.0000), Cd at (0.0000, 0.2409, 0.5000), Pd at (0.0000, 0.0000, 0.0000) and Pd at (0.3333, 0.6667, 0.5000).

The value obtained for the offset from the most stable computed form is 0 meV/atom. The energy of formation from the pure elements comes out at -65.1 kJ per mole of atoms. The volume is 234.92 Å³ per cell. As for the crystal system: hexagonal. For the density, the calculation gives 9454 kg/m3.

---

Entry 4:
Density functional theory data (GGA-PBE) for a relaxed AcCdPd crystal.

The structure belongs to space group P2_1/m (No. 11); the cell edges are 5.144, 5.806 and 6.210 Å and the angles 90.00°, 114.36° and 90.00°. The inequivalent atoms are Ac at (0.135, 0.250, 0.275), Cd at (0.429, 0.250, 0.863) and Pd at (0.167, 0.750, 0.330).

The value obtained for the offset from the most stable computed form is 128 meV/atom. The energy of formation from the pure elements comes out at -52.8 kJ per mole of atoms. The volume is 168.96 Å³ per cell. As for the crystal system: monoclinic. For the density, the calculation gives 8763 kg/m3.

---

no.,total magnetization (μB/f.u.)
1,0.0
2,0.0
3,0.0
4,0.0